Entry 1:
Below is a PBEsol-optimized structure of LiSnP4O12, with properties calculated at the meta-GGA SCAN level.

Fermi-level density of states   0.15 states/eV/f.u.
VASP energy   -10.833 eV/atom
Size of the total moment   1.0 μB/f.u.
Crystal system   orthorhombic
Distance to the lowest polymorph of the same formula   0.031 eV per atom

Unit cell a=8.3809 b=9.8380 c=12.8723 alpha=90.00 beta=90.00 gamma=90.00
Last column: nearest neighbours and their distance in Å.
Fractional coordinates of all 72 atoms:
Li 0.0032 0.2500 0.0000  4 O 1.89-2.08
Li 0.9968 0.7500 0.0000  4 O 1.89-2.08
Li 0.4968 0.7500 0.5000  4 O 1.89-2.08
Li 0.5032 0.2500 0.5000  4 O 1.89-2.08
Sn 0.3851 0.7500 0.0000  6 O 2.21-2.22
Sn 0.6149 0.2500 0.0000  6 O 2.21-2.22
Sn 0.1149 0.2500 0.5000  6 O 2.21-2.22
Sn 0.8851 0.7500 0.5000  6 O 2.21-2.22
P 0.1690 0.5059 0.1294  4 O 1.47-1.61
P 0.8310 0.0059 0.1294  4 O 1.47-1.61
P 0.4734 0.0030 0.1611  4 O 1.51-1.59
P 0.5266 0.5030 0.1611  4 O 1.51-1.59
P 0.0266 0.5030 0.3389  4 O 1.51-1.59
P 0.9734 0.0030 0.3389  4 O 1.51-1.59
P 0.3310 0.0059 0.3706  4 O 1.47-1.61
P 0.6690 0.5059 0.3706  4 O 1.47-1.61
P 0.3310 0.4941 0.6294  4 O 1.47-1.61
P 0.6690 0.9941 0.6294  4 O 1.47-1.61
P 0.0266 0.9970 0.6611  4 O 1.51-1.59
P 0.9734 0.4970 0.6611  4 O 1.51-1.59
P 0.4734 0.4970 0.8389  4 O 1.51-1.59
P 0.5266 0.9970 0.8389  4 O 1.51-1.59
P 0.1690 0.9941 0.8706  4 O 1.47-1.61
P 0.8310 0.4941 0.8706  4 O 1.47-1.61
O 0.1800 0.6298 0.0588  1 P 1.52
O 0.8200 0.1298 0.0588  1 P 1.52
O 0.4471 0.1097 0.0786  1 P 1.51
O 0.5529 0.6097 0.0786  1 P 1.51
O 0.0979 0.3791 0.0901  1 P 1.47
O 0.9021 0.8791 0.0901  1 P 1.47
O 0.3885 0.8694 0.1454  1 P 1.51
O 0.6115 0.3694 0.1454  1 P 1.51
O 0.3415 0.4755 0.1785  2 P 1.59-1.61
O 0.6585 0.9755 0.1785  2 P 1.59-1.61
O 0.0767 0.5650 0.2295  2 P 1.59-1.61
O 0.9233 0.0650 0.2295  2 P 1.59-1.61
O 0.4233 0.0650 0.2705  2 P 1.59-1.61
O 0.5767 0.5650 0.2705  2 P 1.59-1.61
O 0.1585 0.9755 0.3215  2 P 1.59-1.61
O 0.8415 0.4755 0.3215  2 P 1.59-1.61
O 0.1115 0.3694 0.3546  1 P 1.51
O 0.8885 0.8694 0.3546  1 P 1.51
O 0.4021 0.8791 0.4099  1 P 1.47
O 0.5979 0.3791 0.4099  1 P 1.47
O 0.0529 0.6097 0.4214  1 P 1.51
O 0.9471 0.1097 0.4214  1 P 1.51
O 0.3200 0.1298 0.4412  1 P 1.52
O 0.6800 0.6298 0.4412  1 P 1.52
O 0.3200 0.3702 0.5588  1 P 1.52
O 0.6800 0.8702 0.5588  1 P 1.52
O 0.0529 0.8903 0.5786  1 P 1.51
O 0.9471 0.3903 0.5786  1 P 1.51
O 0.4021 0.6209 0.5901  1 P 1.47
O 0.5979 0.1209 0.5901  1 P 1.47
O 0.1115 0.1306 0.6454  1 P 1.51
O 0.8885 0.6306 0.6454  1 P 1.51
O 0.1585 0.5245 0.6785  2 P 1.59-1.61
O 0.8415 0.0245 0.6785  2 P 1.59-1.61
O 0.4233 0.4350 0.7295  2 P 1.59-1.61
O 0.5767 0.9350 0.7295  2 P 1.59-1.61
O 0.0767 0.9350 0.7705  2 P 1.59-1.61
O 0.9233 0.4350 0.7705  2 P 1.59-1.61
O 0.3415 0.0245 0.8215  2 P 1.59-1.61
O 0.6585 0.5245 0.8215  2 P 1.59-1.61
O 0.3885 0.6306 0.8546  1 P 1.51
O 0.6115 0.1306 0.8546  1 P 1.51
O 0.0979 0.1209 0.9099  1 P 1.47
O 0.9021 0.6209 0.9099  1 P 1.47
O 0.4471 0.3903 0.9214  1 P 1.51
O 0.5529 0.8903 0.9214  1 P 1.51
O 0.1800 0.8702 0.9412  1 P 1.52
O 0.8200 0.3702 0.9412  1 P 1.52


Entry 2:
Below is a PBEsol-optimized structure of LiSnPO4, with properties calculated at the meta-GGA SCAN level.

Fermi-level density of states   0.00 states/eV/f.u.
VASP energy   -12.694 eV/atom
Size of the total moment   0.0 μB/f.u.
Crystal system   triclinic

Unit cell a=5.5280 b=8.3388 c=9.2108 alpha=75.48 beta=92.70 gamma=76.26
Last column: nearest neighbours and their distance in Å.
Fractional coordinates of all 28 atoms:
Li 0.1223 0.9914 0.3701  4 O 1.86-2.08
Li 0.2412 0.4378 0.1879  4 O 1.91-2.13
Li 0.7588 0.5622 0.8121  4 O 1.91-2.13
Li 0.8777 0.0086 0.6299  4 O 1.86-2.08
Sn 0.2203 0.1392 0.9224  3 O 2.13-2.25
Sn 0.2154 0.6002 0.6128  3 O 2.22-2.41
Sn 0.7846 0.3998 0.3872  3 O 2.22-2.41
Sn 0.7797 0.8608 0.0776  3 O 2.13-2.25
P 0.2798 0.2349 0.5500  4 O 1.50-1.59
P 0.2080 0.7419 0.9045  4 O 1.51-1.59
P 0.7920 0.2581 0.0955  4 O 1.51-1.59
P 0.7202 0.7651 0.4500  4 O 1.50-1.59
O 0.0898 0.1364 0.5126  1 P 1.55
O 0.9452 0.3474 0.1819  1 P 1.56
O 0.2046 0.2917 0.6973  1 P 1.59
O 0.1987 0.4088 0.4208  1 P 1.58
O 0.0792 0.9414 0.8418  1 P 1.59
O 0.4824 0.6953 0.8827  1 P 1.51
O 0.1563 0.6942 0.0746  1 P 1.57
O 0.5535 0.1476 0.5662  1 P 1.50
O 0.4465 0.8524 0.4338  1 P 1.50
O 0.8437 0.3058 0.9254  1 P 1.57
O 0.5176 0.3047 0.1173  1 P 1.51
O 0.9208 0.0586 0.1582  1 P 1.59
O 0.8013 0.5912 0.5792  1 P 1.58
O 0.7954 0.7083 0.3027  1 P 1.59
O 0.0548 0.6526 0.8181  1 P 1.56
O 0.9102 0.8636 0.4874  1 P 1.55


Entry 3:
Below is a PBEsol-optimized structure of LiSnP4O12, with properties calculated at the meta-GGA SCAN level.

VASP energy   -10.843 eV/atom
Size of the total moment   1.0 μB/f.u.
Crystal system   monoclinic
Distance to the lowest polymorph of the same formula   0.020 eV per atom

Unit cell a=7.4418 b=7.4418 c=9.7462 alpha=98.86 beta=110.55 gamma=109.79
Last column: nearest neighbours and their distance in Å.
Fractional coordinates of all 36 atoms:
Li 0.5000 0.5000 0.5000  6 O 2.02-2.17
Li 0.5000 0.0000 0.0000  6 O 2.02-2.17
Sn 0.7000 0.9500 0.7500  6 O 2.19-2.27
Sn 0.3000 0.0500 0.2500  6 O 2.19-2.27
P 0.4989 0.6931 0.1987  4 O 1.47-1.62
P 0.7568 0.7215 0.0283  4 O 1.50-1.60
P 0.1933 0.7286 0.4717  4 O 1.50-1.60
P 0.0056 0.6998 0.6987  4 O 1.47-1.62
P 0.9944 0.3002 0.3013  4 O 1.47-1.62
P 0.8067 0.2714 0.5283  4 O 1.50-1.60
P 0.2432 0.2785 0.9717  4 O 1.50-1.60
P 0.5011 0.3069 0.8013  4 O 1.47-1.62
O 0.5174 0.6400 0.3404  1 P 1.47
O 0.6217 0.7994 0.9201  1 P 1.52
O 0.7146 0.7293 0.1783  2 P 1.60-1.62
O 0.9913 0.8182 0.0778  1 P 1.50
O 0.8011 0.7203 0.6746  1 P 1.52
O 0.6803 0.4867 0.9562  2 P 1.59-1.61
O 0.6208 0.2985 0.4201  1 P 1.52
O 0.2404 0.9135 0.4222  1 P 1.50
O 0.0306 0.7241 0.5438  2 P 1.59-1.61
O 0.2004 0.8231 0.8404  1 P 1.47
O 0.0510 0.5362 0.3217  2 P 1.60-1.62
O 0.5457 0.1265 0.8254  1 P 1.52
O 0.4543 0.8735 0.1746  1 P 1.52
O 0.9490 0.4638 0.6783  2 P 1.60-1.62
O 0.7996 0.1769 0.1596  1 P 1.47
O 0.9694 0.2759 0.4562  2 P 1.59-1.61
O 0.7596 0.0865 0.5778  1 P 1.50
O 0.3792 0.7015 0.5799  1 P 1.52
O 0.3197 0.5133 0.0438  2 P 1.59-1.61
O 0.1989 0.2797 0.3254  1 P 1.52
O 0.0087 0.1818 0.9222  1 P 1.50
O 0.2854 0.2707 0.8217  2 P 1.60-1.62
O 0.3783 0.2006 0.0799  1 P 1.52
O 0.4826 0.3600 0.6596  1 P 1.47


Entry 4:
Below is a PBEsol-optimized structure of Li3Sn2P3O12, with properties calculated at the meta-GGA SCAN level.

Fermi-level density of states   0.00 states/eV/f.u.
VASP energy   -11.509 eV/atom
Size of the total moment   0.0 μB/f.u.
Crystal system   monoclinic
Distance to the lowest polymorph of the same formula   0.046 eV per atom

Unit cell a=8.9802 b=9.0403 c=12.1476 alpha=90.00 beta=91.05 gamma=90.00
Last column: nearest neighbours and their distance in Å.
Fractional coordinates of all 80 atoms:
Li 0.2950 0.2031 0.8865  3 O 1.86-2.08
Li 0.5000 0.5987 0.7500  2 O 1.89
Li 0.7050 0.2031 0.6135  3 O 1.86-2.08
Li 0.5000 0.5000 0.5000  4 O 2.24-2.33
Li 0.0000 0.0000 0.5000  2 O 2.07
Li 0.2950 0.7969 0.3865  3 O 1.86-2.08
Li 0.0000 0.8331 0.7500  2 O 1.97
Li 0.5000 0.4013 0.2500  2 O 1.89
Li 0.0000 0.1669 0.2500  2 O 1.97
Li 0.0000 0.0000 0.0000  2 O 2.07
Li 0.5000 0.5000 0.0000  4 O 2.24-2.33
Li 0.7050 0.7969 0.1135  3 O 1.86-2.08
Sn 0.2978 0.9958 0.6387  6 O 2.01-2.10
Sn 0.1659 0.5125 0.8286  1 O 2.12
Sn 0.7022 0.9958 0.8613  6 O 2.01-2.10
Sn 0.1659 0.4875 0.3286  1 O 2.12
Sn 0.2978 0.0042 0.1387  6 O 2.01-2.10
Sn 0.8341 0.5125 0.6714  1 O 2.12
Sn 0.7022 0.0042 0.3613  6 O 2.01-2.10
Sn 0.8341 0.4875 0.1714  1 O 2.12
P 0.5000 0.2820 0.7500  4 O 1.53-1.56
P 0.3471 0.8478 0.8908  4 O 1.52-1.57
P 0.1986 0.6612 0.5902  4 O 1.52-1.60
P 0.3471 0.1522 0.3908  4 O 1.52-1.57
P 0.8014 0.6612 0.9098  4 O 1.52-1.60
P 0.0000 0.1463 0.7500  4 O 1.51-1.60
P 0.6529 0.8478 0.6092  4 O 1.52-1.57
P 0.1986 0.3388 0.0902  4 O 1.52-1.60
P 0.8014 0.3388 0.4098  4 O 1.52-1.60
P 0.6529 0.1522 0.1092  4 O 1.52-1.57
P 0.5000 0.7180 0.2500  4 O 1.53-1.56
P 0.0000 0.8537 0.2500  4 O 1.51-1.60
O 0.1132 0.2361 0.8146  1 P 1.51
O 0.9582 0.6845 0.8642  1 P 1.54
O 0.0707 0.0372 0.6611  1 P 1.60
O 0.4416 0.3724 0.8469  1 P 1.53
O 0.6342 0.1807 0.7838  1 P 1.56
O 0.3834 0.6838 0.8956  1 P 1.52
O 0.2513 0.8973 0.9903  1 P 1.56
O 0.3658 0.1807 0.7162  1 P 1.56
O 0.7958 0.5510 0.0049  1 P 1.53
O 0.2513 0.1027 0.4903  1 P 1.56
O 0.9293 0.0372 0.8389  1 P 1.60
O 0.3135 0.6134 0.6768  1 P 1.52
O 0.9582 0.3155 0.3642  1 P 1.54
O 0.4834 0.9530 0.8864  1 P 1.55
O 0.2505 0.8863 0.7857  1 P 1.57
O 0.5584 0.3724 0.6531  1 P 1.53
O 0.6865 0.6134 0.8232  1 P 1.52
O 0.2505 0.1137 0.2857  1 P 1.57
O 0.2457 0.8180 0.5413  1 P 1.60
O 0.2042 0.5510 0.4951  1 P 1.53
O 0.4834 0.0470 0.3864  1 P 1.55
O 0.8868 0.2361 0.6854  1 P 1.51
O 0.7543 0.8180 0.9587  1 P 1.60
O 0.3834 0.3162 0.3956  1 P 1.52
O 0.6166 0.6838 0.6044  1 P 1.52
O 0.2457 0.1820 0.0413  1 P 1.60
O 0.5166 0.9530 0.6136  1 P 1.55
O 0.1132 0.7639 0.3146  1 P 1.51
O 0.7958 0.4490 0.5049  1 P 1.53
O 0.7543 0.1820 0.4587  1 P 1.60
O 0.3135 0.3866 0.1768  1 P 1.52
O 0.7495 0.8863 0.7143  1 P 1.57
O 0.4416 0.6276 0.3469  1 P 1.53
O 0.7495 0.1137 0.2143  1 P 1.57
O 0.0418 0.6845 0.6358  1 P 1.54
O 0.5166 0.0470 0.1136  1 P 1.55
O 0.6865 0.3866 0.3232  1 P 1.52
O 0.0707 0.9628 0.1611  1 P 1.60
O 0.7487 0.8973 0.5097  1 P 1.56
O 0.2042 0.4490 0.9951  1 P 1.53
O 0.6342 0.8193 0.2838  1 P 1.56
O 0.6166 0.3162 0.1044  1 P 1.52
O 0.7487 0.1027 0.0097  1 P 1.56
O 0.3658 0.8193 0.2162  1 P 1.56
O 0.5584 0.6276 0.1531  1 P 1.53
O 0.9293 0.9628 0.3389  1 P 1.60
O 0.0418 0.3155 0.1358  1 P 1.54
O 0.8868 0.7639 0.1854  1 P 1.51


Entry 5:
Below is a PBEsol-optimized structure of LiSn2P3O10, with properties calculated at the meta-GGA SCAN level.

Fermi-level density of states   0.00 states/eV/f.u.
VASP energy   -12.659 eV/atom
Size of the total moment   0.0 μB/f.u.
Crystal system   monoclinic

Unit cell a=5.0667 b=9.4467 c=9.6711 alpha=90.00 beta=100.83 gamma=90.00
Last column: nearest neighbours and their distance in Å.
Fractional coordinates of all 32 atoms:
Li 0.0000 0.0000 0.0000  2 O 1.88
Li 0.0000 0.5000 0.0000  2 O 1.88
Sn 0.9711 0.4563 0.6597  3 O 2.20-2.39
Sn 0.0289 0.5437 0.3403  3 O 2.20-2.39
Sn 0.0289 0.9563 0.3403  3 O 2.20-2.39
Sn 0.9711 0.0437 0.6597  3 O 2.20-2.39
P 0.2448 0.7500 0.8596  4 O 1.51-1.60
P 0.5024 0.7500 0.5881  4 O 1.51-1.64
P 0.4976 0.2500 0.4119  4 O 1.51-1.64
P 0.4083 0.7500 0.1619  4 O 1.50-1.64
P 0.7552 0.2500 0.1404  4 O 1.51-1.60
P 0.5917 0.2500 0.8381  4 O 1.50-1.64
O 0.3446 0.1133 0.4145  1 P 1.51
O 0.7605 0.1151 0.8289  1 P 1.55
O 0.3446 0.3867 0.4145  1 P 1.51
O 0.5325 0.2500 0.9994  2 P 1.60-1.64
O 0.4675 0.7500 0.0006  2 P 1.60-1.64
O 0.6554 0.6133 0.5855  1 P 1.51
O 0.6554 0.8867 0.5855  1 P 1.51
O 0.6849 0.7500 0.2517  1 P 1.50
O 0.9148 0.3858 0.1453  1 P 1.51
O 0.5798 0.2500 0.2557  2 P 1.55-1.64
O 0.7605 0.3849 0.8289  1 P 1.55
O 0.0852 0.8858 0.8547  1 P 1.51
O 0.2410 0.7500 0.4767  1 P 1.54
O 0.7590 0.2500 0.5233  1 P 1.54
O 0.2395 0.6151 0.1711  1 P 1.55
O 0.3151 0.2500 0.7483  1 P 1.50
O 0.0852 0.6142 0.8547  1 P 1.51
O 0.9148 0.1142 0.1453  1 P 1.51
O 0.4202 0.7500 0.7443  2 P 1.55-1.64
O 0.2395 0.8849 0.1711  1 P 1.55


Entry 6:
Below is a PBEsol-optimized structure of Li4SnP2O8, with properties calculated at the meta-GGA SCAN level.

Fermi-level density of states   0.00 states/eV/f.u.
VASP energy   -10.165 eV/atom
Size of the total moment   0.0 μB/f.u.
Crystal system   monoclinic

Unit cell a=7.9964 b=9.4877 c=10.0356 alpha=90.00 beta=90.00 gamma=81.17
Last column: nearest neighbours and their distance in Å.
Fractional coordinates of all 60 atoms:
Li 0.0574 0.5889 0.3382  4 O 1.92-1.97
Li 0.0985 0.6282 0.8333  4 O 1.90-1.96
Li 0.2937 0.2121 0.6706  3 O 1.87-1.95
Li 0.2416 0.4818 0.5778  4 O 1.94-2.09
Li 0.2584 0.5182 0.0778  4 O 1.94-2.09
Li 0.2063 0.7879 0.1706  3 O 1.87-1.95
Li 0.4015 0.3718 0.3333  4 O 1.90-1.96
Li 0.4426 0.4111 0.8382  4 O 1.92-1.97
Li 0.5574 0.5889 0.1618  4 O 1.92-1.97
Li 0.5985 0.6282 0.6667  4 O 1.90-1.96
Li 0.7937 0.2121 0.8294  3 O 1.87-1.95
Li 0.7416 0.4818 0.9222  4 O 1.94-2.09
Li 0.7584 0.5182 0.4222  4 O 1.94-2.09
Li 0.7063 0.7879 0.3294  3 O 1.87-1.95
Li 0.9015 0.3718 0.1667  4 O 1.90-1.96
Li 0.9426 0.4111 0.6618  4 O 1.92-1.97
Sn 0.2390 0.1015 0.1473  3 O 2.07-2.17
Sn 0.2610 0.8985 0.6473  3 O 2.07-2.17
Sn 0.7390 0.1015 0.3527  3 O 2.07-2.17
Sn 0.7610 0.8985 0.8527  3 O 2.07-2.17
P 0.9251 0.7262 0.5935  4 O 1.54-1.57
P 0.4251 0.7262 0.9065  4 O 1.54-1.57
P 0.5749 0.2738 0.0935  4 O 1.54-1.57
P 0.0749 0.2738 0.4065  4 O 1.54-1.57
P 0.1191 0.3203 0.9100  4 O 1.52-1.58
P 0.3809 0.6797 0.4100  4 O 1.52-1.58
P 0.6191 0.3203 0.5900  4 O 1.52-1.58
P 0.8809 0.6797 0.0900  4 O 1.52-1.58
O 0.9007 0.7080 0.9358  1 P 1.58
O 0.0342 0.5925 0.6527  1 P 1.54
O 0.0189 0.8569 0.6069  1 P 1.55
O 0.1222 0.3024 0.5513  1 P 1.54
O 0.0602 0.6420 0.1512  1 P 1.55
O 0.2206 0.1895 0.8453  1 P 1.52
O 0.2420 0.2349 0.3230  1 P 1.57
O 0.2128 0.4521 0.9005  1 P 1.56
O 0.2872 0.5479 0.4005  1 P 1.56
O 0.2580 0.7651 0.8230  1 P 1.57
O 0.2794 0.8105 0.3453  1 P 1.52
O 0.4398 0.3580 0.6512  1 P 1.55
O 0.3778 0.6976 0.0513  1 P 1.54
O 0.4811 0.1431 0.1069  1 P 1.55
O 0.4007 0.7080 0.5642  1 P 1.58
O 0.4658 0.4075 0.1527  1 P 1.54
O 0.5342 0.5925 0.8473  1 P 1.54
O 0.5993 0.2920 0.4358  1 P 1.58
O 0.5189 0.8569 0.8931  1 P 1.55
O 0.6222 0.3024 0.9487  1 P 1.54
O 0.5602 0.6420 0.3488  1 P 1.55
O 0.7206 0.1895 0.6547  1 P 1.52
O 0.7420 0.2349 0.1770  1 P 1.57
O 0.7128 0.4521 0.5995  1 P 1.56
O 0.7872 0.5479 0.0995  1 P 1.56
O 0.7580 0.7651 0.6770  1 P 1.57
O 0.7794 0.8105 0.1547  1 P 1.52
O 0.9398 0.3580 0.8488  1 P 1.55
O 0.8778 0.6976 0.4487  1 P 1.54
O 0.9811 0.1431 0.3931  1 P 1.55
O 0.9658 0.4075 0.3473  1 P 1.54
O 0.0993 0.2920 0.0642  1 P 1.58


Entry 7:
Below is a PBEsol-optimized structure of LiSn2P3O10, with properties calculated at the meta-GGA SCAN level.

Fermi-level density of states   0.00 states/eV/f.u.
VASP energy   -12.659 eV/atom
Size of the total moment   0.0 μB/f.u.
Crystal system   monoclinic

Unit cell a=7.7847 b=7.7847 c=10.1233 alpha=65.86 beta=65.86 gamma=79.62
Last column: nearest neighbours and their distance in Å.
Fractional coordinates of all 32 atoms:
Li 0.1900 0.8100 0.2500  2 O 1.86
Li 0.8100 0.1900 0.7500  2 O 1.86
Sn 0.3749 0.2806 0.6041  3 O 2.13-2.24
Sn 0.6251 0.7194 0.3959  3 O 2.13-2.24
Sn 0.2806 0.3749 0.1041  3 O 2.13-2.24
Sn 0.7194 0.6251 0.8959  3 O 2.13-2.24
P 0.6421 0.1237 0.1074  4 O 1.50-1.65
P 0.8763 0.3579 0.3926  4 O 1.50-1.65
P 0.9196 0.0804 0.2500  4 O 1.51-1.58
P 0.1237 0.6421 0.6074  4 O 1.50-1.65
P 0.0804 0.9196 0.7500  4 O 1.51-1.58
P 0.3579 0.8763 0.8926  4 O 1.50-1.65
O 0.8706 0.8844 0.8283  1 P 1.51
O 0.7991 0.5317 0.2872  1 P 1.54
O 0.6417 0.9086 0.1680  1 P 1.53
O 0.7752 0.3242 0.5630  1 P 1.50
O 0.5317 0.7991 0.7872  1 P 1.54
O 0.2009 0.4683 0.7128  1 P 1.54
O 0.6758 0.2248 0.9370  1 P 1.50
O 0.1156 0.1294 0.6717  1 P 1.51
O 0.3583 0.0914 0.8320  1 P 1.53
O 0.8210 0.1758 0.3743  2 P 1.58-1.65
O 0.1758 0.8210 0.8743  2 P 1.58-1.65
O 0.8844 0.8706 0.3283  1 P 1.51
O 0.0914 0.3583 0.3320  1 P 1.53
O 0.8242 0.1790 0.1257  2 P 1.58-1.65
O 0.9086 0.6417 0.6680  1 P 1.53
O 0.3242 0.7752 0.0630  1 P 1.50
O 0.2248 0.6758 0.4370  1 P 1.50
O 0.1294 0.1156 0.1717  1 P 1.51
O 0.1790 0.8242 0.6257  2 P 1.58-1.65
O 0.4683 0.2009 0.2128  1 P 1.54